[1]
This record from Alexandria via LeMat-Bulk describes an optimized crystal structure of Sc3Ag5. The functional is GGA-PBE.

## Properties
DFT formation energy	-0.1894	eV/atom
total magnetic moment	0.00	μB per formula unit
theoretical density	7.12	g cm⁻³

```
data_Sc3Ag5
_cell_length_a 5.897
_cell_length_b 5.897
_cell_length_c 4.741
_cell_angle_alpha 90.00
_cell_angle_beta 90.00
_cell_angle_gamma 72.37
_symmetry_space_group_name_H-M 'P 1'
_symmetry_Int_Tables_number 1
loop_
_symmetry_equiv_pos_as_xyz
'x,y,z'
loop_
_atom_site_label
_atom_site_fract_x
_atom_site_fract_y
_atom_site_fract_z
Ag1 0.000 0.000 0.000
Ag2 0.000 0.500 0.000
Ag3 0.500 0.000 0.000
Ag4 0.723 0.277 0.500
Ag5 0.277 0.723 0.500
Sc1 0.500 0.500 0.000
Sc2 0.229 0.229 0.500
Sc3 0.771 0.771 0.500
```


[2]
This record from Alexandria via LeMat-Bulk describes an optimized crystal structure of Sc2Ag. The functional is GGA-PBE.

## Properties
DFT formation energy	-0.1897	eV/atom
total magnetic moment	0.00	μB per formula unit
theoretical density	5.02	g cm⁻³

```
data_Sc2Ag
_cell_length_a 9.048
_cell_length_b 9.048
_cell_length_c 9.048
_cell_angle_alpha 120.00
_cell_angle_beta 120.00
_cell_angle_gamma 60.00
_symmetry_space_group_name_H-M 'P 1'
_symmetry_Int_Tables_number 1
loop_
_symmetry_equiv_pos_as_xyz
'x,y,z'
loop_
_atom_site_label
_atom_site_fract_x
_atom_site_fract_y
_atom_site_fract_z
Ag1 0.715 0.856 0.285
Ag2 0.715 0.215 0.644
Ag3 0.356 0.215 0.285
Ag4 0.715 0.215 0.285
Ag5 0.285 0.144 0.715
Ag6 0.285 0.785 0.356
Ag7 0.644 0.785 0.715
Ag8 0.285 0.785 0.715
Sc1 0.500 0.000 0.500
Sc2 0.000 0.000 0.500
Sc3 0.500 0.000 0.000
Sc4 0.500 0.500 0.500
Sc5 0.941 0.809 0.691
Sc6 0.309 0.809 0.059
Sc7 0.941 0.809 0.059
Sc8 0.309 0.441 0.691
Sc9 0.941 0.441 0.691
Sc10 0.309 0.441 0.059
Sc11 0.059 0.191 0.309
Sc12 0.691 0.191 0.941
Sc13 0.059 0.191 0.941
Sc14 0.691 0.559 0.309
Sc15 0.059 0.559 0.309
Sc16 0.691 0.559 0.941
```


[3]
This record from Alexandria via LeMat-Bulk describes an optimized crystal structure of Sc2Ag. The functional is GGA-PBE.

## Properties
DFT formation energy	-0.0400	eV/atom
total magnetic moment	0.00	μB per formula unit
theoretical density	5.05	g cm⁻³

```
data_Sc2Ag
_cell_length_a 4.772
_cell_length_b 4.772
_cell_length_c 3.296
_cell_angle_alpha 90.00
_cell_angle_beta 90.00
_cell_angle_gamma 120.00
_symmetry_space_group_name_H-M 'P 1'
_symmetry_Int_Tables_number 1
loop_
_symmetry_equiv_pos_as_xyz
'x,y,z'
loop_
_atom_site_label
_atom_site_fract_x
_atom_site_fract_y
_atom_site_fract_z
Ag1 0.000 0.000 0.000
Sc1 0.333 0.667 0.282
Sc2 0.667 0.333 0.718
```


[4]
This record from Alexandria via LeMat-Bulk describes an optimized crystal structure of Sc3Ag4. The functional is GGA-PBE.

## Properties
DFT formation energy	-0.0550	eV/atom
total magnetic moment	0.00	μB per formula unit
theoretical density	6.12	g cm⁻³

```
data_Sc3Ag4
_cell_length_a 4.759
_cell_length_b 4.759
_cell_length_c 8.307
_cell_angle_alpha 73.36
_cell_angle_beta 73.36
_cell_angle_gamma 60.00
_symmetry_space_group_name_H-M 'P 1'
_symmetry_Int_Tables_number 1
loop_
_symmetry_equiv_pos_as_xyz
'x,y,z'
loop_
_atom_site_label
_atom_site_fract_x
_atom_site_fract_y
_atom_site_fract_z
Sc1 0.247 0.247 0.259
Sc2 0.753 0.753 0.741
Sc3 0.000 0.000 0.000
Ag1 0.628 0.628 0.116
Ag2 0.875 0.875 0.374
Ag3 0.125 0.125 0.626
Ag4 0.372 0.372 0.884
```


[5]
This record from Alexandria via LeMat-Bulk describes an optimized crystal structure of Sc7Ag. The functional is GGA-PBE.

## Properties
DFT formation energy	0.0265	eV/atom
total magnetic moment	0.00	μB per formula unit
theoretical density	3.76	g cm⁻³

```
data_Sc7Ag
_cell_length_a 6.413
_cell_length_b 6.413
_cell_length_c 6.413
_cell_angle_alpha 60.00
_cell_angle_beta 60.00
_cell_angle_gamma 60.00
_symmetry_space_group_name_H-M 'P 1'
_symmetry_Int_Tables_number 1
loop_
_symmetry_equiv_pos_as_xyz
'x,y,z'
loop_
_atom_site_label
_atom_site_fract_x
_atom_site_fract_y
_atom_site_fract_z
Ag1 0.000 0.000 0.000
Sc1 0.000 0.000 0.500
Sc2 0.000 0.500 0.000
Sc3 0.000 0.500 0.500
Sc4 0.500 0.000 0.000
Sc5 0.500 0.000 0.500
Sc6 0.500 0.500 0.000
Sc7 0.500 0.500 0.500
```


[6]
This record from Alexandria via LeMat-Bulk describes an optimized crystal structure of Sc2Ag. The functional is GGA-PBE.

## Properties
DFT formation energy	-0.1585	eV/atom
total magnetic moment	0.00	μB per formula unit
theoretical density	5.03	g cm⁻³

```
data_Sc2Ag
_cell_length_a 3.386
_cell_length_b 3.386
_cell_length_c 11.391
_cell_angle_alpha 90.00
_cell_angle_beta 90.00
_cell_angle_gamma 90.00
_symmetry_space_group_name_H-M 'P 1'
_symmetry_Int_Tables_number 1
loop_
_symmetry_equiv_pos_as_xyz
'x,y,z'
loop_
_atom_site_label
_atom_site_fract_x
_atom_site_fract_y
_atom_site_fract_z
Sc1 0.500 0.500 0.000
Sc2 0.500 0.500 0.309
Sc3 0.000 0.000 0.500
Sc4 0.500 0.500 0.691
Ag1 0.000 0.000 0.846
Ag2 0.000 0.000 0.154
```


[7]
This record from Alexandria via LeMat-Bulk describes an optimized crystal structure of ScAg6. The functional is GGA-PBE.

## Properties
DFT formation energy	0.7869	eV/atom
total magnetic moment	1.10	μB per formula unit
theoretical density	5.77	g cm⁻³

```
data_ScAg6
_cell_length_a 6.374
_cell_length_b 6.374
_cell_length_c 6.374
_cell_angle_alpha 109.47
_cell_angle_beta 109.47
_cell_angle_gamma 109.47
_symmetry_space_group_name_H-M 'P 1'
_symmetry_Int_Tables_number 1
loop_
_symmetry_equiv_pos_as_xyz
'x,y,z'
loop_
_atom_site_label
_atom_site_fract_x
_atom_site_fract_y
_atom_site_fract_z
Sc1 0.000 0.000 0.000
Ag1 0.250 0.750 0.500
Ag2 0.500 0.750 0.250
Ag3 0.250 0.500 0.750
Ag4 0.750 0.250 0.500
Ag5 0.500 0.250 0.750
Ag6 0.750 0.500 0.250
```


[8]
This record from Alexandria via LeMat-Bulk describes an optimized crystal structure of Sc6Ag7. The functional is GGA-PBE.

## Properties
DFT formation energy	-0.1026	eV/atom
total magnetic moment	0.00	μB per formula unit
theoretical density	6.36	g cm⁻³

```
data_Sc6Ag7
_cell_length_a 10.416
_cell_length_b 10.416
_cell_length_c 10.416
_cell_angle_alpha 31.10
_cell_angle_beta 31.10
_cell_angle_gamma 31.10
_symmetry_space_group_name_H-M 'P 1'
_symmetry_Int_Tables_number 1
loop_
_symmetry_equiv_pos_as_xyz
'x,y,z'
loop_
_atom_site_label
_atom_site_fract_x
_atom_site_fract_y
_atom_site_fract_z
Sc1 0.952 0.952 0.952
Sc2 0.048 0.048 0.048
Sc3 0.844 0.844 0.844
Sc4 0.156 0.156 0.156
Sc5 0.669 0.669 0.669
Sc6 0.331 0.331 0.331
Ag1 0.911 0.410 0.410
Ag2 0.410 0.410 0.911
Ag3 0.410 0.911 0.410
Ag4 0.089 0.590 0.590
Ag5 0.590 0.089 0.590
Ag6 0.590 0.590 0.089
Ag7 0.500 0.500 0.500
```


[9]
This record from Alexandria via LeMat-Bulk describes an optimized crystal structure of Sc2Ag. The functional is GGA-PBE.

## Properties
DFT formation energy	-0.0897	eV/atom
total magnetic moment	0.00	μB per formula unit
theoretical density	4.98	g cm⁻³

```
data_Sc2Ag
_cell_length_a 7.629
_cell_length_b 7.629
_cell_length_c 4.974
_cell_angle_alpha 90.00
_cell_angle_beta 90.00
_cell_angle_gamma 152.88
_symmetry_space_group_name_H-M 'P 1'
_symmetry_Int_Tables_number 1
loop_
_symmetry_equiv_pos_as_xyz
'x,y,z'
loop_
_atom_site_label
_atom_site_fract_x
_atom_site_fract_y
_atom_site_fract_z
Sc1 0.883 0.117 0.250
Sc2 0.564 0.436 0.250
Sc3 0.436 0.564 0.750
Sc4 0.117 0.883 0.750
Ag1 0.226 0.774 0.250
Ag2 0.774 0.226 0.750
```


[10]
This record from Alexandria via LeMat-Bulk describes an optimized crystal structure of Sc4Ag. The functional is GGA-PBE.

## Properties
DFT formation energy	0.4672	eV/atom
total magnetic moment	2.17	μB per formula unit
theoretical density	3.54	g cm⁻³

```
data_Sc4Ag
_cell_length_a 5.598
_cell_length_b 5.598
_cell_length_c 5.598
_cell_angle_alpha 109.47
_cell_angle_beta 109.47
_cell_angle_gamma 109.47
_symmetry_space_group_name_H-M 'P 1'
_symmetry_Int_Tables_number 1
loop_
_symmetry_equiv_pos_as_xyz
'x,y,z'
loop_
_atom_site_label
_atom_site_fract_x
_atom_site_fract_y
_atom_site_fract_z
Sc1 0.500 0.000 0.000
Sc2 0.500 0.500 0.500
Sc3 0.000 0.500 0.000
Sc4 0.000 0.000 0.500
Ag1 0.000 0.000 0.000
```


[11]
This record from Alexandria via LeMat-Bulk describes an optimized crystal structure of Sc2Ag. The functional is GGA-PBE.

## Properties
DFT formation energy	0.3283	eV/atom
total magnetic moment	0.00	μB per formula unit
theoretical density	4.93	g cm⁻³

```
data_Sc2Ag
_cell_length_a 5.733
_cell_length_b 5.733
_cell_length_c 5.733
_cell_angle_alpha 60.00
_cell_angle_beta 60.00
_cell_angle_gamma 60.00
_symmetry_space_group_name_H-M 'P 1'
_symmetry_Int_Tables_number 1
loop_
_symmetry_equiv_pos_as_xyz
'x,y,z'
loop_
_atom_site_label
_atom_site_fract_x
_atom_site_fract_y
_atom_site_fract_z
Sc1 0.125 0.625 0.125
Sc2 0.125 0.125 0.625
Sc3 0.625 0.125 0.125
Sc4 0.125 0.125 0.125
Ag1 0.750 0.750 0.750
Ag2 0.500 0.500 0.500
```


[12]
This record from Alexandria via LeMat-Bulk describes an optimized crystal structure of Sc3Ag5. The functional is GGA-PBE.

## Properties
DFT formation energy	-0.1849	eV/atom
total magnetic moment	0.00	μB per formula unit
theoretical density	6.93	g cm⁻³

```
data_Sc3Ag5
_cell_length_a 3.445
_cell_length_b 7.356
_cell_length_c 7.356
_cell_angle_alpha 120.00
_cell_angle_beta 90.00
_cell_angle_gamma 90.00
_symmetry_space_group_name_H-M 'P 1'
_symmetry_Int_Tables_number 1
loop_
_symmetry_equiv_pos_as_xyz
'x,y,z'
loop_
_atom_site_label
_atom_site_fract_x
_atom_site_fract_y
_atom_site_fract_z
Sc1 0.500 0.000 0.604
Sc2 0.500 0.604 0.000
Sc3 0.500 0.396 0.396
Ag1 0.000 0.667 0.333
Ag2 0.000 0.333 0.667
Ag3 0.000 0.000 0.231
Ag4 0.000 0.231 0.000
Ag5 0.000 0.769 0.769
```


Repeat the second record exactly.
This record from Alexandria via LeMat-Bulk describes an optimized crystal structure of Sc2Ag. The functional is GGA-PBE.

## Properties
DFT formation energy	-0.1897	eV/atom
total magnetic moment	0.00	μB per formula unit
theoretical density	5.02	g cm⁻³

```
data_Sc2Ag
_cell_length_a 9.048
_cell_length_b 9.048
_cell_length_c 9.048
_cell_angle_alpha 120.00
_cell_angle_beta 120.00
_cell_angle_gamma 60.00
_symmetry_space_group_name_H-M 'P 1'
_symmetry_Int_Tables_number 1
loop_
_symmetry_equiv_pos_as_xyz
'x,y,z'
loop_
_atom_site_label
_atom_site_fract_x
_atom_site_fract_y
_atom_site_fract_z
Ag1 0.715 0.856 0.285
Ag2 0.715 0.215 0.644
Ag3 0.356 0.215 0.285
Ag4 0.715 0.215 0.285
Ag5 0.285 0.144 0.715
Ag6 0.285 0.785 0.356
Ag7 0.644 0.785 0.715
Ag8 0.285 0.785 0.715
Sc1 0.500 0.000 0.500
Sc2 0.000 0.000 0.500
Sc3 0.500 0.000 0.000
Sc4 0.500 0.500 0.500
Sc5 0.941 0.809 0.691
Sc6 0.309 0.809 0.059
Sc7 0.941 0.809 0.059
Sc8 0.309 0.441 0.691
Sc9 0.941 0.441 0.691
Sc10 0.309 0.441 0.059
Sc11 0.059 0.191 0.309
Sc12 0.691 0.191 0.941
Sc13 0.059 0.191 0.941
Sc14 0.691 0.559 0.309
Sc15 0.059 0.559 0.309
Sc16 0.691 0.559 0.941
```